1.
Compound: NpMoPd
Source: Alexandria via LeMat-Bulk
Functional: PBE-GGA
Structure: optimized geometry

Geometry as CIF:
```
data_NpMoPd
_chemical_formula_sum 'Np2 Mo2 Pd2'
_space_group_name_H-M_alt 'P m m n'
_space_group_IT_number 59
_cell_length_a 2.594
_cell_length_b 5.283
_cell_length_c 7.824
_cell_angle_alpha 90.00
_cell_angle_beta 90.00
_cell_angle_gamma 90.00
loop_
_space_group_symop_operation_xyz
'x,y,z'
'-x,-y,-z'
'-x+1/2,-y+1/2,z'
'x+1/2,y+1/2,-z'
'x+1/2,-y,-z'
'-x+1/2,y,z'
'-x,y+1/2,-z'
'x,-y+1/2,z'
loop_
_atom_site_label
_atom_site_type_symbol
_atom_site_fract_x
_atom_site_fract_y
_atom_site_fract_z
Np1 Np 0.250 0.250 0.206
Mo1 Mo 0.250 0.750 0.470
Pd1 Pd 0.250 0.250 0.857
```

For the formation enthalpy at 0 K, the calculation gives 0.359 eV per atom. The spin magnetization comes out at 0.0 μB per cell.


2.
Compound: UTlSe2
Source: Alexandria via LeMat-Bulk
Functional: PBE-GGA
Structure: optimized geometry

Geometry as CIF:
```
data_UTlSe2
_chemical_formula_sum 'U3 Tl3 Se6'
_space_group_name_H-M_alt 'R 3 m'
_space_group_IT_number 160
_space_group_name_Hall 'R 3 -2"'
_cell_length_a 4.1038
_cell_length_b 4.1038
_cell_length_c 24.3590
_cell_angle_alpha 90.00
_cell_angle_beta 90.00
_cell_angle_gamma 120.00
loop_
_atom_site_label
_atom_site_type_symbol
_atom_site_fract_x
_atom_site_fract_y
_atom_site_fract_z
U1 U 0.0000 0.0000 0.0000
Tl1 Tl 0.0000 0.0000 0.8319
Se1 Se 0.0000 0.0000 0.4015
Se2 Se 0.0000 0.0000 0.5982
```

The spin magnetization comes out at 9.0 μB per cell. As for the formation energy (no corrections): -868 meV per atom.


Number 1: calculated total energy -55.777 eV for the cell shown. Number 2: calculated total energy -72.285 eV for the cell shown.